Bi2AsO at its PBEsol-relaxed geometry. Source: Alexandria, functional meta-GGA SCAN.

Lattice parameters (Å, degrees): 6.006 6.006 11.899 90.00 90.00 90.00
Fractional positions:
1 Bi 0.178 0.250 0.125
2 Bi 0.250 0.678 0.375
3 Bi 0.250 0.822 0.875
4 Bi 0.322 0.250 0.625
5 Bi 0.678 0.750 0.625
6 Bi 0.750 0.178 0.875
7 Bi 0.750 0.322 0.375
8 Bi 0.822 0.750 0.125
9 As 0.000 0.000 0.500
10 As 0.000 0.500 0.750
11 As 0.500 0.000 0.250
12 As 0.500 0.500 0.000
13 O 0.000 0.000 0.000
14 O 0.000 0.500 0.250
15 O 0.500 0.000 0.750
16 O 0.500 0.500 0.500

Output
Symmetry = I-42d, No. 122
Formation energy without anion corrections = -10 kJ/mol of atoms
Polymorph energy (0 for the lowest one) = 0 meV/atom



Bi2AsO6 at its PBEsol-relaxed geometry. Source: Alexandria, functional meta-GGA SCAN.

Lattice parameters (Å, degrees): 7.066 6.948 10.660 90.00 108.00 90.00
Fractional positions:
1 Bi 0.098 0.128 0.318
2 Bi 0.098 0.372 0.818
3 Bi 0.243 0.595 0.523
4 Bi 0.243 0.905 0.023
5 Bi 0.757 0.095 0.977
6 Bi 0.757 0.405 0.477
7 Bi 0.902 0.628 0.182
8 Bi 0.902 0.872 0.682
9 As 0.372 0.072 0.675
10 As 0.372 0.428 0.175
11 As 0.628 0.572 0.825
12 As 0.628 0.928 0.325
13 O 0.008 0.570 0.619
14 O 0.008 0.930 0.119
15 O 0.062 0.703 0.861
16 O 0.062 0.797 0.361
17 O 0.212 0.622 0.129
18 O 0.212 0.878 0.629
19 O 0.316 0.223 0.542
20 O 0.316 0.277 0.042
21 O 0.336 0.142 0.821
22 O 0.336 0.358 0.321
23 O 0.381 0.516 0.773
24 O 0.381 0.984 0.273
25 O 0.619 0.016 0.727
26 O 0.619 0.484 0.227
27 O 0.664 0.642 0.679
28 O 0.664 0.858 0.179
29 O 0.684 0.723 0.958
30 O 0.684 0.777 0.458
31 O 0.788 0.122 0.371
32 O 0.788 0.378 0.871
33 O 0.938 0.203 0.639
34 O 0.938 0.297 0.139
35 O 0.992 0.070 0.881
36 O 0.992 0.430 0.381

Output
Symmetry = P2_1/c, No. 14
Formation energy without anion corrections = -109 kJ/mol of atoms



BiAsO4 at its PBEsol-relaxed geometry. Source: Alexandria, functional meta-GGA SCAN.

Lattice parameters (Å, degrees): 6.745 7.162 8.281 90.00 126.68 90.00
Fractional positions:
1 Bi 0.197 0.138 0.280
2 Bi 0.197 0.362 0.780
3 Bi 0.803 0.638 0.220
4 Bi 0.803 0.862 0.720
5 As 0.311 0.662 0.200
6 As 0.311 0.838 0.700
7 As 0.689 0.162 0.300
8 As 0.689 0.338 0.800
9 O 0.125 0.644 0.607
10 O 0.125 0.856 0.107
11 O 0.161 0.002 0.737
12 O 0.161 0.498 0.237
13 O 0.361 0.604 0.023
14 O 0.361 0.896 0.523
15 O 0.385 0.208 0.108
16 O 0.385 0.292 0.608
17 O 0.615 0.708 0.392
18 O 0.615 0.792 0.892
19 O 0.639 0.104 0.477
20 O 0.639 0.396 0.977
21 O 0.839 0.502 0.763
22 O 0.839 0.998 0.263
23 O 0.875 0.144 0.893
24 O 0.875 0.356 0.393

Output
Symmetry = P2_1/c, No. 14
Formation energy without anion corrections = -132 kJ/mol of atoms



BiAsP2O at its PBEsol-relaxed geometry. Source: Alexandria, functional meta-GGA SCAN.

Lattice parameters (Å, degrees): 4.854 4.854 3.748 90.00 90.00 90.00
Fractional positions:
1 Bi 0.000 0.000 0.000
2 As 0.500 0.500 0.500
3 P 0.000 0.500 0.500
4 P 0.500 0.000 0.500
5 O 0.500 0.500 0.000

Output
Symmetry = P4/mmm, No. 123
Formation energy without anion corrections = 22 kJ/mol of atoms



Bi17As5Pb5O43 at its PBEsol-relaxed geometry. Source: Alexandria, functional meta-GGA SCAN.

Lattice parameters (Å, degrees): 11.646 11.646 11.508 118.48 118.48 92.20
Fractional positions:
1 Bi 0.000 0.000 0.000
2 Bi 0.001 0.667 0.345
3 Bi 0.016 0.016 0.703
4 Bi 0.023 0.669 0.017
5 Bi 0.330 0.330 0.691
6 Bi 0.342 0.999 0.695
7 Bi 0.346 0.979 0.341
8 Bi 0.359 0.659 0.008
9 Bi 0.370 0.370 0.381
10 Bi 0.383 0.671 0.361
11 Bi 0.659 0.359 0.008
12 Bi 0.667 0.001 0.345
13 Bi 0.669 0.023 0.017
14 Bi 0.671 0.383 0.361
15 Bi 0.680 0.680 0.023
16 Bi 0.979 0.346 0.341
17 Bi 0.999 0.342 0.695
18 As 0.007 0.007 0.328
19 As 0.038 0.360 0.056
20 As 0.352 0.661 0.669
21 As 0.360 0.038 0.056
22 As 0.661 0.352 0.669
23 Pb 0.017 0.692 0.690
24 Pb 0.357 0.357 0.038
25 Pb 0.692 0.017 0.690
26 Pb 0.699 0.699 0.702
27 Pb 0.705 0.705 0.378
28 O 0.029 0.554 0.811
29 O 0.062 0.440 0.973
30 O 0.096 0.933 0.245
31 O 0.117 0.117 0.534
32 O 0.184 0.989 0.933
33 O 0.197 0.426 0.233
34 O 0.233 0.414 0.820
35 O 0.250 0.519 0.627
36 O 0.251 0.757 0.149
37 O 0.259 0.755 0.610
38 O 0.355 0.909 0.486
39 O 0.408 0.929 0.117
40 O 0.414 0.233 0.820
41 O 0.420 0.600 0.554
42 O 0.422 0.595 0.169
43 O 0.426 0.197 0.233
44 O 0.440 0.062 0.973
45 O 0.472 0.472 0.330
46 O 0.493 0.760 0.864
47 O 0.505 0.505 0.920
48 O 0.519 0.250 0.627
49 O 0.539 0.941 0.401
50 O 0.554 0.029 0.811
51 O 0.595 0.422 0.169
52 O 0.597 0.778 0.168
53 O 0.599 0.779 0.539
54 O 0.600 0.420 0.554
55 O 0.755 0.259 0.610
56 O 0.757 0.251 0.149
57 O 0.760 0.493 0.864
58 O 0.778 0.597 0.168
59 O 0.779 0.599 0.539
60 O 0.782 0.961 0.905
61 O 0.808 0.984 0.534
62 O 0.880 0.880 0.277
63 O 0.909 0.355 0.486
64 O 0.909 0.909 0.749
65 O 0.929 0.408 0.117
66 O 0.933 0.096 0.245
67 O 0.941 0.539 0.401
68 O 0.961 0.782 0.905
69 O 0.984 0.808 0.534
70 O 0.989 0.184 0.933

Output
Symmetry = Cm, No. 8
Formation energy without anion corrections = -120 kJ/mol of atoms



BiAsPbO5 at its PBEsol-relaxed geometry. Source: Alexandria, functional meta-GGA SCAN.

Lattice parameters (Å, degrees): 7.179 7.179 7.071 110.58 110.58 45.05
Fractional positions:
1 Bi 0.014 0.014 0.256
2 Bi 0.986 0.986 0.744
3 As 0.338 0.338 0.351
4 As 0.662 0.662 0.649
5 Pb 0.338 0.338 0.876
6 Pb 0.662 0.662 0.124
7 O 0.107 0.609 0.224
8 O 0.202 0.202 0.311
9 O 0.237 0.763 0.000
10 O 0.391 0.893 0.776
11 O 0.418 0.418 0.605
12 O 0.582 0.582 0.395
13 O 0.609 0.107 0.224
14 O 0.763 0.237 0.000
15 O 0.798 0.798 0.689
16 O 0.893 0.391 0.776

Output
Symmetry = C2/m, No. 12
Formation energy without anion corrections = -129 kJ/mol of atoms



BiAsSe2O at its PBEsol-relaxed geometry. Source: Alexandria, functional meta-GGA SCAN.

Lattice parameters (Å, degrees): 4.603 4.603 4.429 90.00 90.00 90.00
Fractional positions:
1 Bi 0.000 0.000 0.000
2 As 0.500 0.500 0.000
3 Se 0.000 0.500 0.500
4 Se 0.500 0.000 0.500
5 O 0.500 0.500 0.500

Output
Symmetry = P4/mmm, No. 123
Formation energy without anion corrections = 31 kJ/mol of atoms



Bi2AsOs at its PBEsol-relaxed geometry. Source: Alexandria, functional meta-GGA SCAN.

Lattice parameters (Å, degrees): 6.306 6.306 12.317 90.00 90.00 90.00
Fractional positions:
1 Bi 0.220 0.250 0.125
2 Bi 0.250 0.720 0.375
3 Bi 0.250 0.780 0.875
4 Bi 0.280 0.250 0.625
5 Bi 0.720 0.750 0.625
6 Bi 0.750 0.220 0.875
7 Bi 0.750 0.280 0.375
8 Bi 0.780 0.750 0.125
9 As 0.000 0.000 0.500
10 As 0.000 0.500 0.750
11 As 0.500 0.000 0.250
12 As 0.500 0.500 0.000
13 Os 0.000 0.000 0.000
14 Os 0.000 0.500 0.250
15 Os 0.500 0.000 0.750
16 Os 0.500 0.500 0.500

Output
Symmetry = I-42d, No. 122



BiAsP2 at its PBEsol-relaxed geometry. Source: Alexandria, functional meta-GGA SCAN.

Lattice parameters (Å, degrees): 6.766 6.766 6.766 90.00 90.00 90.00
Fractional positions:
1 Bi 0.000 0.000 0.000
2 Bi 0.000 0.500 0.500
3 Bi 0.500 0.000 0.500
4 Bi 0.500 0.500 0.000
5 As 0.000 0.000 0.500
6 As 0.000 0.500 0.000
7 As 0.500 0.000 0.000
8 As 0.500 0.500 0.500
9 P 0.250 0.250 0.250
10 P 0.250 0.250 0.750
11 P 0.250 0.750 0.250
12 P 0.250 0.750 0.750
13 P 0.750 0.250 0.250
14 P 0.750 0.250 0.750
15 P 0.750 0.750 0.250
16 P 0.750 0.750 0.750

Output
Symmetry = Fm-3m, No. 225



Bi2AsPPt at its PBEsol-relaxed geometry. Source: Alexandria, functional meta-GGA SCAN.

Lattice parameters (Å, degrees): 5.386 5.386 4.458 90.00 90.00 90.00
Fractional positions:
1 Bi 0.000 0.500 0.000
2 Bi 0.500 0.000 0.000
3 As 0.000 0.000 0.000
4 P 0.000 0.000 0.500
5 Pt 0.500 0.500 0.500

Output
Symmetry = P4/mmm, No. 123
Polymorph energy (0 for the lowest one) = 465 meV/atom



Bi2AsPPt at its PBEsol-relaxed geometry. Source: Alexandria, functional meta-GGA SCAN.

Lattice parameters (Å, degrees): 5.550 5.550 4.444 90.00 90.00 90.00
Fractional positions:
1 Bi 0.000 0.500 0.000
2 Bi 0.500 0.000 0.000
3 As 0.000 0.000 0.500
4 P 0.500 0.500 0.500
5 Pt 0.000 0.000 0.000

Output
Symmetry = P4/mmm, No. 123
Polymorph energy (0 for the lowest one) = 0 meV/atom



BiAsPS2 at its PBEsol-relaxed geometry. Source: Alexandria, functional meta-GGA SCAN.

Lattice parameters (Å, degrees): 5.037 5.037 5.222 90.00 90.00 90.00
Fractional positions:
1 Bi 0.000 0.000 0.000
2 As 0.500 0.500 0.500
3 P 0.000 0.000 0.500
4 S 0.000 0.500 0.000
5 S 0.500 0.000 0.000

Output
Symmetry = P4/mmm, No. 123
Formation energy without anion corrections = 119 kJ/mol of atoms



no.,total magnetic moment (Bohr magnetons per cell),final energy (eV/atom)
1,0.0,-45.999
2,0.0,-24.988
3,0.0,-21.979
4,0.0,-24.930
5,0.0,-31.014
6,0.0,-27.056
7,0.0,-28.710
8,0.0,-61.490
9,0.0,-29.165
10,0.0,-50.487
11,0.0,-50.952
12,0.3,-24.455